Model one:
DFT (GGA+U) results for Li4WO5 after structural relaxation.

total magnetic moment	0.00	μB per cell

The structure in CIF format:
```
data_Li4WO5
_chemical_formula_sum 'Li8 W2 O10'
_space_group_name_H-M_alt 'I 4'
_space_group_IT_number 79
_space_group_name_Hall 'I 4'
_cell_length_a 6.7818
_cell_length_b 6.7818
_cell_length_c 4.0554
_cell_angle_alpha 90.00
_cell_angle_beta 90.00
_cell_angle_gamma 90.00
loop_
_atom_site_label
_atom_site_fract_x
_atom_site_fract_y
_atom_site_fract_z
Li1 0.1053 0.6845 0.0000
W1 0.0000 0.0000 0.4852
O1 0.0000 0.0000 0.0008
O2 0.0850 0.7286 0.5026
```

Model two:
DFT (GGA+U) results for Li4WO5 after structural relaxation.

total magnetic moment	0.00	μB per cell

The structure in CIF format:
```
data_Li4WO5
_chemical_formula_sum 'Li8 W2 O10'
_space_group_name_H-M_alt 'P -1'
_space_group_IT_number 2
_space_group_name_Hall '-P 1'
_cell_length_a 5.3182
_cell_length_b 5.8038
_cell_length_c 7.2857
_cell_angle_alpha 106.56
_cell_angle_beta 100.41
_cell_angle_gamma 104.00
loop_
_atom_site_label
_atom_site_fract_x
_atom_site_fract_y
_atom_site_fract_z
Li1 0.0000 0.0000 0.0000
Li2 0.0000 0.0000 0.5000
Li3 0.2093 0.3720 0.3966
Li4 0.2300 0.6756 0.2411
Li5 0.3294 0.3024 0.8569
W1 0.3826 0.7770 0.7770
O1 0.1077 0.9395 0.7364
O2 0.1139 0.4560 0.6988
O3 0.3437 0.3665 0.1360
O4 0.3507 0.8694 0.0784
O5 0.4616 0.7493 0.5360
```

What should be chosen as the most stable of them? Choose model one.

Model one:
DFT (GGA+U) results for LiWO2 after structural relaxation.

total magnetic moment	0.00	μB per cell

The structure in CIF format:
```
data_LiWO2
_chemical_formula_sum 'Li3 W3 O6'
_space_group_name_H-M_alt 'R -3 m'
_space_group_IT_number 166
_space_group_name_Hall '-R 3 2"'
_cell_length_a 2.8307
_cell_length_b 2.8307
_cell_length_c 19.0420
_cell_angle_alpha 90.00
_cell_angle_beta 90.00
_cell_angle_gamma 120.00
loop_
_atom_site_label
_atom_site_fract_x
_atom_site_fract_y
_atom_site_fract_z
Li1 0.0000 0.0000 0.0000
W1 0.0000 0.0000 0.5000
O1 0.0000 0.0000 0.0921
```

Model two:
DFT (GGA+U) results for LiWO2 after structural relaxation.

total magnetic moment	11.97	μB per cell

The structure in CIF format:
```
data_LiWO2
_chemical_formula_sum 'Li4 W4 O8'
_space_group_name_H-M_alt 'I -4 2 d'
_space_group_IT_number 122
_space_group_name_Hall 'I -4 2bw'
_cell_length_a 4.3449
_cell_length_b 4.3449
_cell_length_c 11.4548
_cell_angle_alpha 90.00
_cell_angle_beta 90.00
_cell_angle_gamma 90.00
loop_
_atom_site_label
_atom_site_fract_x
_atom_site_fract_y
_atom_site_fract_z
Li1 0.0000 0.0000 0.0000
W1 0.0000 0.0000 0.5000
O1 0.2378 0.2500 0.6250
```

Model three:
DFT (GGA+U) results for LiWO2 after structural relaxation.

total magnetic moment	4.00	μB per cell

The structure in CIF format:
```
data_LiWO2
_chemical_formula_sum 'Li4 W4 O8'
_space_group_name_H-M_alt 'F m -3 m'
_space_group_IT_number 225
_space_group_name_Hall '-F 4 2 3'
_cell_length_a 5.2782
_cell_length_b 5.2782
_cell_length_c 5.2782
_cell_angle_alpha 90.00
_cell_angle_beta 90.00
_cell_angle_gamma 90.00
loop_
_atom_site_label
_atom_site_fract_x
_atom_site_fract_y
_atom_site_fract_z
Li1 0.0000 0.0000 0.0000
W1 0.0000 0.0000 0.5000
O1 0.2500 0.2500 0.2500
```

What should be chosen as the most stable of them? Choose model two.